[1]
First-principles (GGA-PBE) data for a relaxed Ba2CaP crystal, as listed in the Alexandria database.

The structure in POSCAR format:
```
Ba2CaP
1.0
6.746 0.009 0.000
3.080 6.002 0.000
-4.913 -3.005 3.513
Ba Ca P
2 1 1
direct
0.000 0.000 0.000
0.250 0.750 0.500
0.500 0.500 0.000
0.750 0.250 0.500
```

Values from the calculation:
The energy comes out at -11.99 eV for the cell shown. The space group is I-4m2, No. 119. The value obtained for the volume is 142 Å³ per cell. The calculation puts the theoretical density at 4.04 Mg/m³. The total magnetization is 0.0 μB per cell. As for the formation energy: -0.1834 eV per atom.

[2]
First-principles (GGA-PBE) data for a relaxed Rb2BaY crystal, as listed in the Alexandria database.

The structure in POSCAR format:
```
Rb2BaY
1.0
-6.978 6.721 5.659
-6.128 1.455 -9.286
-8.741 1.008 -0.853
Y Ba Rb
2 2 4
direct
0.500 0.500 0.000
0.250 0.750 0.500
0.000 0.000 0.000
0.750 0.250 0.500
0.613 0.125 0.250
0.137 0.625 0.250
0.375 0.387 0.750
0.875 0.863 0.750
```

Values from the calculation:
The energy comes out at -15.02 eV for the cell shown. The space group is I-42d, No. 122. The energy relative to the lowest polymorph listed for this composition is 100.2 meV/atom. The value obtained for the volume is 491 Å³ per cell. The calculation puts the theoretical density at 2.69 Mg/m³. The total magnetization is 4.2 μB per cell. As for the formation energy: 0.7036 eV per atom.